## AlVZn2F (GGA+U)

Data for AlVZn2F after structural relaxation.

Output
- E_tot (eV/atom) = -2.96
- M_tot (μB per formula unit) = 1.0
- space-group type = No. 123
- crystal system = tetragonal
- density (g/cm³) = 4.2

```
AlVZn2F
1.0
5.042 0.000 0.000
0.000 3.582 0.000
0.000 0.000 5.042
V Zn F Al
1 2 1 1
direct
0.500 0.500 0.500 V
0.000 0.000 0.500 Zn
0.500 0.000 0.000 Zn
0.000 0.500 0.000 F
0.000 0.000 0.000 Al
```